DFT (GGA+U) results for a relaxed structure of HfNi2AsF.

Lattice parameters (Å, degrees): 4.214 5.101 4.214 90.00 90.00 90.00
Fractional positions:
1 Ni 0.000 0.000 0.500
2 Ni 0.500 0.000 0.000
3 As 0.000 0.000 0.000
4 Hf 0.000 0.500 0.000
5 F 0.500 0.500 0.500

magnetic moment = 0.00 μB per formula unit
electronic total energy = -3.832 eV/atom